Compound: Y2IrPd
Source: Alexandria
Functional: PBE
Structure: optimized geometry

Structure (POSCAR):
```
Y2IrPd
1.0
-3.7636 3.7636 3.1730
3.7636 -3.7636 3.1730
3.7636 3.7636 -3.1730
Y Ir Pd
4 2 2
Cartesian
1.8818 1.8248 -0.7933
1.9388 -1.8818 3.9663
1.8818 1.9388 2.3798
1.8248 5.6454 0.7933
0.0000 0.0000 0.0000
0.0000 3.7636 1.5865
3.7636 0.0000 1.5865
0.0000 0.0000 3.1730
```

Summary:
**SG**: No. 122
**Polymorph energy (0 for the lowest one)**: 438 meV/atom
**Crystal system**: tetragonal
**Formation enthalpy at 0 K**: -0.442 eV/atom